Entry from Alexandria via LeMat-Bulk: a geometry-optimized Be2WC structure (PBE).

Computed properties:
The calculation puts the calculated density at 9124 kg/m3. As for the magnetization: 0.000 μB per atom. The calculation puts the energy of formation at 1.5 eV/f.u.

CIF file:
```
data_Be2WC
_chemical_formula_sum 'Be4 W2 C2'
_cell_length_a 6.074
_cell_length_b 6.074
_cell_length_c 4.785
_cell_angle_alpha 50.61
_cell_angle_beta 50.61
_cell_angle_gamma 90.00
_space_group_name_H-M_alt 'P 1'
_space_group_IT_number 1
loop_
_space_group_symop_operation_xyz
'x,y,z'
loop_
_atom_site_label
_atom_site_type_symbol
_atom_site_fract_x
_atom_site_fract_y
_atom_site_fract_z
Be1 Be 0.875 0.784 0.750
Be2 Be 0.216 0.625 0.250
Be3 Be 0.375 0.466 0.750
Be4 Be 0.534 0.125 0.250
C1 C 0.250 0.750 0.500
C2 C 0.500 0.500 0.000
W1 W 0.000 0.000 0.000
W2 W 0.750 0.250 0.500
```